[1]
## Ga2RePbC (PBE)

Data for Ga2RePbC after structural relaxation.

Summary:
Electronic total energy, eV/atom: -3.78
Calculated density, Mg/m³: 6.9

a = 5.502 Å, b = 4.312 Å, c = 5.502 Å
α = 90.00°, β = 90.00°, γ = 90.00°
Site moments in Bohr magnetons follow the coordinates.
Fractional coordinates of all 5 atoms:
C 0.000 0.500 0.000  0.11
Ga 0.500 0.000 0.000  -0.02
Pb 0.000 0.000 0.000  0.02
Ga 0.000 0.000 0.500  -0.01
Re 0.500 0.500 0.500  3.57

***

[2]
## GaSbPbC2 (PBE)

Data for GaSbPbC2 after structural relaxation.

Summary:
Formation energy without anion corrections, meV per atom: 2007
Calculated density, Mg/m³: 7.0

a = 4.202 Å, b = 5.694 Å, c = 4.202 Å
α = 90.00°, β = 90.00°, γ = 90.00°
Site moments in Bohr magnetons follow the coordinates.
Fractional coordinates of all 5 atoms:
Sb 0.500 0.500 0.500  -0.05
Pb 0.000 0.500 0.000  -0.03
C 0.000 0.000 0.500  0.20
Ga 0.000 0.000 0.000  -0.01
C 0.500 0.000 0.000  0.21

***

[3]
## TaGa2PbC (PBE)

Data for TaGa2PbC after structural relaxation.

Summary:
Electronic total energy, eV/atom: -5.39
Calculated density, Mg/m³: 8.0

a = 5.166 Å, b = 4.189 Å, c = 5.166 Å
α = 90.00°, β = 90.00°, γ = 90.00°
Fractional coordinates of all 5 atoms:
C 0.000 0.500 0.000
Ta 0.000 0.000 0.000
Pb 0.500 0.500 0.500
Ga 0.500 0.000 0.000
Ga 0.000 0.000 0.500

***

[4]
## Tb4GaPbC (PBE)

Data for Tb4GaPbC after structural relaxation.

Summary:
Electronic total energy, eV/atom: -5.37
Calculated density, Mg/m³: 8.4

a = 6.856 Å, b = 6.859 Å, c = 8.503 Å
α = 90.00°, β = 113.77°, γ = 90.00°
Fractional coordinates of all 14 atoms:
Tb 0.083 0.750 0.165
Pb 0.390 0.250 0.780
Tb 0.500 0.000 0.500
Tb 0.591 0.250 0.181
Tb 0.000 0.500 0.500
Tb 0.917 0.250 0.835
Ga 0.881 0.750 0.763
Tb 0.500 0.500 0.500
Pb 0.610 0.750 0.220
C 0.752 0.250 0.505
Ga 0.119 0.250 0.237
C 0.248 0.750 0.495
Tb 0.409 0.750 0.819
Tb 0.000 0.000 0.500

***

[5]
## Tm4GaPbC (PBE)

Data for Tm4GaPbC after structural relaxation.

Summary:
Electronic total energy, eV/atom: -5.31
Calculated density, Mg/m³: 9.3

a = 6.689 Å, b = 6.689 Å, c = 8.361 Å
α = 90.00°, β = 113.58°, γ = 90.00°
Fractional coordinates of all 14 atoms:
Tm 0.000 0.000 0.500
Tm 0.083 0.750 0.167
C 0.248 0.750 0.495
Ga 0.117 0.250 0.235
Pb 0.392 0.250 0.783
Tm 0.408 0.750 0.816
C 0.752 0.250 0.505
Tm 0.000 0.500 0.500
Pb 0.608 0.750 0.217
Tm 0.500 0.500 0.500
Tm 0.500 0.000 0.500
Tm 0.592 0.250 0.184
Tm 0.917 0.250 0.833
Ga 0.883 0.750 0.765

***

[6]
## GaPb2WC (PBE)

Data for GaPb2WC after structural relaxation.

Summary:
Electronic total energy, eV/atom: -4.69
Calculated density, Mg/m³: 7.9

a = 5.382 Å, b = 4.957 Å, c = 5.382 Å
α = 90.00°, β = 90.00°, γ = 90.00°
Site moments in Bohr magnetons follow the coordinates.
Fractional coordinates of all 5 atoms:
C 0.500 0.500 0.500  0.99
Pb 0.500 0.000 0.000  0.00
Ga 0.000 0.500 0.000  -0.01
Pb 0.000 0.000 0.500  -0.01
W 0.000 0.000 0.000  0.26

***

[7]
## Y4GaPbC (PBE)

Data for Y4GaPbC after structural relaxation.

Summary:
Electronic total energy, eV/atom: -6.46
Calculated density, Mg/m³: 5.9

a = 6.811 Å, b = 6.814 Å, c = 8.499 Å
α = 90.00°, β = 113.62°, γ = 90.00°
Fractional coordinates of all 14 atoms:
C 0.248 0.750 0.496
Y 0.918 0.250 0.835
C 0.752 0.250 0.504
Y 0.000 0.000 0.500
Pb 0.609 0.750 0.218
Pb 0.391 0.250 0.782
Y 0.500 0.500 0.500
Y 0.082 0.750 0.165
Y 0.591 0.250 0.181
Ga 0.118 0.250 0.235
Ga 0.882 0.750 0.765
Y 0.409 0.750 0.819
Y 0.000 0.500 0.500
Y 0.500 0.000 0.500

***

[8]
## YGaPb2C (PBE)

Data for YGaPb2C after structural relaxation.

Summary:
Electronic total energy, eV/atom: -3.77
Calculated density, Mg/m³: 6.3

a = 5.240 Å, b = 5.593 Å, c = 5.240 Å
α = 90.00°, β = 90.00°, γ = 90.00°
Site moments in Bohr magnetons follow the coordinates.
Fractional coordinates of all 5 atoms:
Pb 0.000 0.000 0.500  -0.03
Y 0.000 0.500 0.000  -0.05
Ga 0.000 0.000 0.000  0.02
Pb 0.500 0.000 0.000  -0.04
C 0.500 0.500 0.500  0.68

***

[9]
## GaPd3C (PBE)

Data for GaPd3C after structural relaxation.

Summary:
Calculated density, Mg/m³: 9.3
Distance to the lowest polymorph of the same formula, meV/atom: 0

a = 4.151 Å, b = 4.151 Å, c = 4.151 Å
α = 90.00°, β = 90.00°, γ = 90.00°
Fractional coordinates of all 5 atoms:
Pd 0.500 0.000 0.000
Pd 0.000 0.500 0.000
C 0.000 0.000 0.000
Ga 0.500 0.500 0.500
Pd 0.000 0.000 0.500

***

[10]
## GaPdC3 (PBE)

Data for GaPdC3 after structural relaxation.

Summary:
Calculated density, Mg/m³: 5.2
Distance to the lowest polymorph of the same formula, meV/atom: 0

a = 4.069 Å, b = 4.069 Å, c = 4.069 Å
α = 90.00°, β = 90.00°, γ = 90.00°
Fractional coordinates of all 5 atoms:
Ga 0.500 0.500 0.500
C 0.500 0.000 0.000
C 0.000 0.000 0.500
C 0.000 0.500 0.000
Pd 0.000 0.000 0.000

***

[11]
## GaPdC2 (PBE)

Data for GaPdC2 after structural relaxation.

Summary:
Electronic total energy, eV/atom: -5.52
Calculated density, Mg/m³: 6.4

a = 4.756 Å, b = 4.756 Å, c = 5.706 Å
α = 65.37°, β = 65.37°, γ = 90.00°
Fractional coordinates of all 8 atoms:
C 0.875 0.878 0.750
Ga 0.250 0.750 0.500
Pd 0.750 0.250 0.500
Ga 0.500 0.500 0.000
C 0.375 0.372 0.750
C 0.122 0.625 0.250
C 0.628 0.125 0.250
Pd 0.000 0.000 0.000

***

[12]
## GaPd3C (PBE)

Data for GaPd3C after structural relaxation.

Summary:
Calculated density, Mg/m³: 6.8
Distance to the lowest polymorph of the same formula, meV/atom: 1501

a = 4.606 Å, b = 4.606 Å, c = 4.606 Å
α = 90.00°, β = 90.00°, γ = 90.00°
Fractional coordinates of all 5 atoms:
C 0.500 0.500 0.500
Ga 0.000 0.000 0.000
Pd 0.000 0.500 0.000
Pd 0.500 0.000 0.000
Pd 0.000 0.000 0.500

***

[13]
## GaPdC3 (PBE)

Data for GaPdC3 after structural relaxation.

Summary:
Calculated density, Mg/m³: 5.6
Distance to the lowest polymorph of the same formula, meV/atom: 96

a = 3.969 Å, b = 3.969 Å, c = 3.969 Å
α = 90.00°, β = 90.00°, γ = 90.00°
Fractional coordinates of all 5 atoms:
Ga 0.000 0.000 0.000
C 0.000 0.500 0.000
C 0.500 0.000 0.000
Pd 0.500 0.500 0.500
C 0.000 0.000 0.500

***

[14]
## GaPd2C (PBE)

Data for GaPd2C after structural relaxation.

Summary:
Calculated density, Mg/m³: 7.1
Distance to the lowest polymorph of the same formula, meV/atom: 0

a = 5.410 Å, b = 5.410 Å, c = 6.046 Å
α = 63.43°, β = 63.43°, γ = 90.00°
Fractional coordinates of all 8 atoms:
C 0.500 0.500 0.000
Pd 0.375 0.462 0.750
Pd 0.538 0.125 0.250
Ga 0.750 0.250 0.500
Pd 0.212 0.625 0.250
Pd 0.875 0.788 0.750
C 0.250 0.750 0.500
Ga 0.000 0.000 0.000

***

[15]
## GaPd2C (PBE)

Data for GaPd2C after structural relaxation.

Summary:
Calculated density, Mg/m³: 9.2
Distance to the lowest polymorph of the same formula, meV/atom: 340

a = 4.218 Å, b = 4.218 Å, c = 4.218 Å
α = 60.00°, β = 60.00°, γ = 60.00°
Fractional coordinates of all 4 atoms:
Ga 0.500 0.500 0.500
C 0.000 0.000 0.000
Pd 0.750 0.750 0.750
Pd 0.250 0.250 0.250

***

[16]
## Ga2RePdC (PBE)

Data for Ga2RePdC after structural relaxation.

Summary:
Calculated density, Mg/m³: 10.4
Distance to the lowest polymorph of the same formula, meV/atom: 0

a = 4.198 Å, b = 4.021 Å, c = 4.198 Å
α = 90.00°, β = 90.00°, γ = 90.00°
Site moments in Bohr magnetons follow the coordinates.
Fractional coordinates of all 5 atoms:
Ga 0.000 0.000 0.500  -0.02
Pd 0.000 0.500 0.000  0.01
Ga 0.500 0.000 0.000  -0.01
Re 0.500 0.500 0.500  0.76
C 0.000 0.000 0.000  0.03

***

[17]
## Ga2RePdC (PBE)

Data for Ga2RePdC after structural relaxation.

Summary:
Calculated density, Mg/m³: 6.6
Distance to the lowest polymorph of the same formula, meV/atom: 1068

a = 4.631 Å, b = 5.189 Å, c = 4.631 Å
α = 90.00°, β = 90.00°, γ = 90.00°
Site moments in Bohr magnetons follow the coordinates.
Fractional coordinates of all 5 atoms:
C 0.500 0.500 0.500  -0.77
Ga 0.000 0.000 0.500  -0.03
Ga 0.500 0.000 0.000  -0.02
Pd 0.000 0.000 0.000  0.13
Re 0.000 0.500 0.000  3.19

***

[18]
## ScGa2PdC (PBE)

Data for ScGa2PdC after structural relaxation.

Summary:
Electronic total energy, eV/atom: -5.39
Calculated density, Mg/m³: 6.5

a = 4.197 Å, b = 4.386 Å, c = 4.197 Å
α = 90.00°, β = 90.00°, γ = 90.00°
Fractional coordinates of all 5 atoms:
Ga 0.000 0.000 0.500
Ga 0.500 0.000 0.000
Pd 0.500 0.500 0.500
C 0.000 0.000 0.000
Sc 0.000 0.500 0.000

***

[19]
## TaGa2PdC (PBE)

Data for TaGa2PdC after structural relaxation.

Summary:
Electronic total energy, eV/atom: -5.44
Calculated density, Mg/m³: 6.9

a = 5.110 Å, b = 4.020 Å, c = 5.110 Å
α = 90.00°, β = 90.00°, γ = 90.00°
Fractional coordinates of all 5 atoms:
Ga 0.000 0.000 0.500
Ga 0.500 0.000 0.000
Ta 0.000 0.000 0.000
Pd 0.500 0.500 0.500
C 0.000 0.500 0.000

***

[20]
## Pm3GaC (PBE)

Data for Pm3GaC after structural relaxation.

Summary:
Electronic total energy, eV/atom: -5.59
Calculated density, Mg/m³: 6.8

a = 5.025 Å, b = 5.025 Å, c = 5.025 Å
α = 90.00°, β = 90.00°, γ = 90.00°
Fractional coordinates of all 5 atoms:
Pm 0.500 0.000 0.000
Pm 0.000 0.500 0.000
Ga 0.500 0.500 0.500
Pm 0.000 0.000 0.500
C 0.000 0.000 0.000